Entry 1:
Material: K2RbCrNi
Method: DFT, GGA-PBE
State: relaxed

Output
Fermi-level density of states, states/eV per cell: 2.06
ΔE_f, eV/atom: 1.33
M_tot, μB per cell: 5.1
Crystal system: tetragonal
VASP energy, eV/atom: -2.38

a b c (Å): 6.8353 6.8353 5.0605
angles (deg): 90.00 90.00 90.00
Space group P4/mmm (No. 123)
Symmetry-distinct sites (fractional):
K 0.0000 0.5000 0.0000 [2 per cell]
Rb 0.0000 0.0000 0.0000 [1 per cell]
Cr 0.5000 0.5000 0.5000 [1 per cell]
Ni 0.0000 0.0000 0.5000 [1 per cell]

=====

Entry 2:
Material: CaV2ZnFe
Method: DFT, GGA-PBE
State: relaxed

Output
Fermi-level density of states, states/eV per cell: 7.61
ΔE_f, eV/atom: 2.38
M_tot, μB per cell: 0.5
Crystal system: tetragonal
VASP energy, eV/atom: -3.61

a b c (Å): 4.2850 4.2850 4.7968
angles (deg): 90.00 90.00 90.00
Space group P4/mmm (No. 123)
Symmetry-distinct sites (fractional):
Ca 0.0000 0.0000 0.0000 [1 per cell]
V 0.0000 0.5000 0.0000 [2 per cell]
Zn 0.0000 0.0000 0.5000 [1 per cell]
Fe 0.5000 0.5000 0.5000 [1 per cell]

=====

Entry 3:
Material: NbTcOs2O
Method: DFT, GGA-PBE
State: relaxed

Output
Fermi-level density of states, states/eV per cell: 2.70
M_tot, μB per cell: 0.0
Crystal system: tetragonal
VASP energy, eV/atom: -9.35
Formation energy without anion corrections, meV per atom: 224

a b c (Å): 4.1173 4.1173 4.0872
angles (deg): 90.00 90.00 90.00
Space group P4/mmm (No. 123)
Symmetry-distinct sites (fractional):
Nb 0.0000 0.0000 0.0000 [1 per cell]
Tc 0.5000 0.5000 0.0000 [1 per cell]
Os 0.0000 0.5000 0.5000 [2 per cell]
O 0.5000 0.5000 0.5000 [1 per cell]

=====

Entry 4:
Material: Mg2IrBr
Method: DFT, GGA-PBE
State: relaxed

Output
Energy relative to the lowest polymorph listed for this composition, kcal/mol of atoms: 5.09
Fermi-level density of states, states/eV per cell: 2.22
M_tot, μB per cell: 0.0
Crystal system: monoclinic
VASP energy, eV/atom: -3.75
Formation energy without anion corrections, meV per atom: -317

a b c (Å): 7.3562 3.2392 8.1038
angles (deg): 90.00 114.28 90.00
Space group C2/m (No. 12)
Symmetry-distinct sites (fractional):
Mg 0.1173 0.0000 0.3030 [4 per cell]
Ir 0.0000 0.5000 0.5000 [2 per cell]
Br 0.0000 0.5000 0.0000 [2 per cell]